The following is a PBE-GGA calculation of crystalline Dy4Y3Tm at its relaxed geometry, from Alexandria via LeMat-Bulk. Values from VASP.

Quantum ESPRESSO input file:
```
&SYSTEM
  ibrav = 0, nat = 16, ntyp = 3
/
ATOMIC_SPECIES
Dy 162.50 Dy.upf
Y 88.91 Y.upf
Tm 168.93 Tm.upf
ATOMIC_POSITIONS crystal
Dy 0.000 0.124 0.000
Dy 0.000 0.875 0.498
Dy 0.249 0.875 0.830
Dy 0.251 0.125 0.330
Dy 0.500 0.125 0.998
Dy 0.500 0.876 0.500
Dy 0.749 0.125 0.330
Dy 0.751 0.875 0.830
Y 0.000 0.374 0.495
Y 0.250 0.375 0.831
Y 0.250 0.625 0.331
Y 0.500 0.626 0.995
Y 0.750 0.375 0.831
Y 0.750 0.625 0.331
Tm 0.000 0.626 0.996
Tm 0.500 0.374 0.496
CELL_PARAMETERS angstrom
11.232 0.000 0.000
0.000 7.263 0.000
0.000 0.000 6.279
```

Results
The calculation puts the relative energy among the computed polymorphs at 0.000 eV/atom. The formation energy is 0.026 eV/f.u.



The following is a PBE-GGA calculation of crystalline Dy2Y5Tm12 at its relaxed geometry, from Alexandria via LeMat-Bulk. Values from VASP.

Quantum ESPRESSO input file:
```
&SYSTEM
  ibrav = 0, nat = 19, ntyp = 3
/
ATOMIC_SPECIES
Dy 162.50 Dy.upf
Y 88.91 Y.upf
Tm 168.93 Tm.upf
ATOMIC_POSITIONS crystal
Dy 0.181 0.819 0.000
Dy 0.819 0.181 0.000
Y 0.199 0.199 0.007
Y 0.266 0.266 0.425
Y 0.500 0.500 0.500
Y 0.734 0.734 0.575
Y 0.801 0.801 0.993
Tm 0.056 0.056 0.333
Tm 0.067 0.680 0.340
Tm 0.163 0.527 0.754
Tm 0.320 0.933 0.660
Tm 0.408 0.408 0.113
Tm 0.473 0.837 0.246
Tm 0.527 0.163 0.754
Tm 0.592 0.592 0.887
Tm 0.680 0.067 0.340
Tm 0.837 0.473 0.246
Tm 0.933 0.320 0.660
Tm 0.944 0.944 0.667
CELL_PARAMETERS angstrom
7.862 -4.538 0.000
7.862 4.538 0.000
-0.186 0.000 8.422
```

Results
The formation energy is 2.374 eV/f.u.



The following is a PBE-GGA calculation of crystalline Dy8Y3Tm at its relaxed geometry, from Alexandria via LeMat-Bulk. Values from VASP.

Quantum ESPRESSO input file:
```
&SYSTEM
  ibrav = 0, nat = 12, ntyp = 3
/
ATOMIC_SPECIES
Dy 162.50 Dy.upf
Y 88.91 Y.upf
Tm 168.93 Tm.upf
ATOMIC_POSITIONS crystal
Dy 0.124 0.124 0.497
Dy 0.124 0.627 0.000
Dy 0.373 0.373 0.497
Dy 0.373 0.876 0.000
Dy 0.627 0.124 0.000
Dy 0.627 0.627 0.503
Dy 0.876 0.373 0.000
Dy 0.876 0.876 0.503
Y 0.250 0.750 0.500
Y 0.500 0.500 0.000
Y 0.750 0.250 0.500
Tm 0.000 0.000 0.000
CELL_PARAMETERS angstrom
-3.842 3.842 7.682
3.842 -3.842 7.682
3.842 3.842 -7.682
```

Results
The formation energy is 8.967 eV/f.u.



The following is a PBE-GGA calculation of crystalline Dy2Y12Tm5 at its relaxed geometry, from Alexandria via LeMat-Bulk. Values from VASP.

Quantum ESPRESSO input file:
```
&SYSTEM
  ibrav = 0, nat = 19, ntyp = 3
/
ATOMIC_SPECIES
Dy 162.50 Dy.upf
Y 88.91 Y.upf
Tm 168.93 Tm.upf
ATOMIC_POSITIONS crystal
Dy 0.176 0.824 0.000
Dy 0.824 0.176 0.000
Y 0.058 0.058 0.333
Y 0.066 0.679 0.339
Y 0.164 0.527 0.760
Y 0.321 0.934 0.661
Y 0.411 0.411 0.119
Y 0.473 0.836 0.240
Y 0.527 0.164 0.760
Y 0.589 0.589 0.881
Y 0.679 0.066 0.339
Y 0.836 0.473 0.240
Y 0.934 0.321 0.661
Y 0.942 0.942 0.667
Tm 0.198 0.198 0.012
Tm 0.268 0.268 0.426
Tm 0.500 0.500 0.500
Tm 0.732 0.732 0.574
Tm 0.802 0.802 0.988
CELL_PARAMETERS angstrom
7.809 -4.623 0.000
7.809 4.623 0.000
-0.141 0.000 8.522
```

Results
The calculation puts the relative energy among the computed polymorphs at 0.064 eV/atom. The formation energy is 2.451 eV/f.u.



The following is a PBE-GGA calculation of crystalline Dy3Y2Tm6 at its relaxed geometry, from Alexandria via LeMat-Bulk. Values from VASP.

Quantum ESPRESSO input file:
```
&SYSTEM
  ibrav = 0, nat = 11, ntyp = 3
/
ATOMIC_SPECIES
Dy 162.50 Dy.upf
Y 88.91 Y.upf
Tm 168.93 Tm.upf
ATOMIC_POSITIONS crystal
Dy 0.000 0.000 0.000
Dy 0.273 0.273 0.273
Dy 0.727 0.727 0.727
Y 0.455 0.455 0.455
Y 0.545 0.545 0.545
Tm 0.091 0.091 0.091
Tm 0.182 0.182 0.182
Tm 0.364 0.364 0.364
Tm 0.636 0.636 0.636
Tm 0.818 0.818 0.818
Tm 0.909 0.909 0.909
CELL_PARAMETERS angstrom
1.760 1.016 31.513
-1.760 1.016 31.513
0.000 -2.033 31.513
```

Results
The calculation puts the relative energy among the computed polymorphs at 0.000 eV/atom. The formation energy is 0.297 eV/f.u.



The following is a PBE-GGA calculation of crystalline DyY4Tm3 at its relaxed geometry, from Alexandria via LeMat-Bulk. Values from VASP.

Quantum ESPRESSO input file:
```
&SYSTEM
  ibrav = 0, nat = 8, ntyp = 3
/
ATOMIC_SPECIES
Dy 162.50 Dy.upf
Y 88.91 Y.upf
Tm 168.93 Tm.upf
ATOMIC_POSITIONS crystal
Dy 0.000 0.000 0.000
Y 0.103 0.897 0.500
Y 0.223 0.777 0.500
Y 0.777 0.223 0.500
Y 0.897 0.103 0.500
Tm 0.344 0.656 0.000
Tm 0.500 0.500 0.500
Tm 0.656 0.344 0.000
CELL_PARAMETERS angstrom
2.785 -13.067 0.000
2.785 13.067 0.000
0.000 0.000 3.555
```

Results
The calculation puts the relative energy among the computed polymorphs at 0.222 eV/atom. The formation energy is 1.777 eV/f.u.



The following is a PBE-GGA calculation of crystalline Dy2Y15Tm2 at its relaxed geometry, from Alexandria via LeMat-Bulk. Values from VASP.

Quantum ESPRESSO input file:
```
&SYSTEM
  ibrav = 0, nat = 19, ntyp = 3
/
ATOMIC_SPECIES
Dy 162.50 Dy.upf
Y 88.91 Y.upf
Tm 168.93 Tm.upf
ATOMIC_POSITIONS crystal
Dy 0.181 0.181 0.181
Dy 0.819 0.819 0.819
Y 0.000 0.500 0.500
Y 0.129 0.129 0.649
Y 0.129 0.649 0.129
Y 0.202 0.500 0.798
Y 0.202 0.798 0.500
Y 0.351 0.871 0.871
Y 0.500 0.000 0.500
Y 0.500 0.202 0.798
Y 0.500 0.500 0.000
Y 0.500 0.798 0.202
Y 0.649 0.129 0.129
Y 0.798 0.202 0.500
Y 0.798 0.500 0.202
Y 0.871 0.351 0.871
Y 0.871 0.871 0.351
Tm 0.404 0.404 0.404
Tm 0.596 0.596 0.596
CELL_PARAMETERS angstrom
5.591 3.228 5.920
-5.591 3.228 5.920
0.000 -6.455 5.920
```

Results
The formation energy is 5.675 eV/f.u.



The following is a PBE-GGA calculation of crystalline Dy6Y5Tm at its relaxed geometry, from Alexandria via LeMat-Bulk. Values from VASP.

Quantum ESPRESSO input file:
```
&SYSTEM
  ibrav = 0, nat = 12, ntyp = 3
/
ATOMIC_SPECIES
Dy 162.50 Dy.upf
Y 88.91 Y.upf
Tm 168.93 Tm.upf
ATOMIC_POSITIONS crystal
Dy 0.083 0.415 0.749
Dy 0.249 0.249 0.251
Dy 0.415 0.083 0.749
Dy 0.585 0.917 0.251
Dy 0.751 0.751 0.749
Dy 0.917 0.585 0.251
Y 0.167 0.833 0.000
Y 0.333 0.667 0.500
Y 0.500 0.500 0.000
Y 0.667 0.333 0.500
Y 0.833 0.167 0.000
Tm 0.000 0.000 0.500
CELL_PARAMETERS angstrom
3.076 -5.322 0.000
3.076 5.322 0.000
-2.039 0.000 11.583
```

Results
The formation energy is 0.258 eV/f.u.